Entry 1:
This record from Alexandria via LeMat-Bulk describes a geometry-optimized TmAg2Pd9 structure. The functional is GGA-PBE.

- spin magnetization (Bohr magnetons per cell) = 0.0
- calculated volume (Å³ per cell) = 196.54
- formation energy (kJ/mol of formula units) = -352
- final energy (eV per atom) = -5.047

```
data_TmAg2Pd9
_cell_length_a 4.0387
_cell_length_b 4.0387
_cell_length_c 12.0496
_cell_angle_alpha 90.00
_cell_angle_beta 90.00
_cell_angle_gamma 90.00
_symmetry_space_group_name_H-M 'P 4/m m m'
_symmetry_Int_Tables_number 123
_symmetry_space_group_name_Hall '-P 4 2'
loop_
_atom_site_label
_atom_site_type_symbol
_atom_site_fract_x
_atom_site_fract_y
_atom_site_fract_z
Tm1 Tm 0.0000 0.0000 0.0000
Ag1 Ag 0.0000 0.0000 0.3370
Pd1 Pd 0.0000 0.5000 0.1710
Pd2 Pd 0.0000 0.5000 0.5000
Pd3 Pd 0.5000 0.5000 0.0000
Pd4 Pd 0.5000 0.5000 0.3352
```

Entry 2:
This record from Alexandria via LeMat-Bulk describes a geometry-optimized Tm2AgPd9 structure. The functional is GGA-PBE.

- spin magnetization (Bohr magnetons per cell) = 0.0
- calculated volume (Å³ per cell) = 201.68
- formation energy (kJ/mol of formula units) = -695
- final energy (eV per atom) = -5.477

```
data_Tm2AgPd9
_cell_length_a 4.0642
_cell_length_b 4.0642
_cell_length_c 12.2101
_cell_angle_alpha 90.00
_cell_angle_beta 90.00
_cell_angle_gamma 90.00
_symmetry_space_group_name_H-M 'P 4/m m m'
_symmetry_Int_Tables_number 123
_symmetry_space_group_name_Hall '-P 4 2'
loop_
_atom_site_label
_atom_site_type_symbol
_atom_site_fract_x
_atom_site_fract_y
_atom_site_fract_z
Tm1 Tm 0.0000 0.0000 0.1701
Ag1 Ag 0.0000 0.0000 0.5000
Pd1 Pd 0.0000 0.5000 0.0000
Pd2 Pd 0.0000 0.5000 0.3367
Pd3 Pd 0.5000 0.5000 0.1682
Pd4 Pd 0.5000 0.5000 0.5000
```

Entry 3:
This record from Alexandria via LeMat-Bulk describes a geometry-optimized Tm7Ag2Pd2 structure. The functional is GGA-PBE.

- spin magnetization (Bohr magnetons per cell) = 0.0
- calculated volume (Å³ per cell) = 595.12
- formation energy (kJ/mol of formula units) = -284
- final energy (eV per atom) = -4.576

```
data_Tm7Ag2Pd2
_cell_length_a 7.7928
_cell_length_b 10.7771
_cell_length_c 7.0862
_cell_angle_alpha 90.00
_cell_angle_beta 90.00
_cell_angle_gamma 90.00
_symmetry_space_group_name_H-M 'C m m m'
_symmetry_Int_Tables_number 65
_symmetry_space_group_name_Hall '-C 2 2'
loop_
_atom_site_label
_atom_site_type_symbol
_atom_site_fract_x
_atom_site_fract_y
_atom_site_fract_z
Tm1 Tm 0.0000 0.0000 0.0000
Tm2 Tm 0.0000 0.5000 0.2553
Tm3 Tm 0.2500 0.2500 0.2615
Ag1 Ag 0.1832 0.0000 0.5000
Pd1 Pd 0.0000 0.2876 0.0000
```